No. 1
# NpCuNiO6

A relaxed NpCuNiO6 crystal (GGA+U, the Alexandria database).

The structure in extended XYZ format:
```
18
Lattice="5.1600 0.0000 0.0000 -2.5800 4.4687 0.0000 0.0000 0.0000 8.8841" Properties=species:S:1:pos:R:3 pbc="T T T"
Np 0.0000 2.9791 2.2210
Np 2.5800 1.4896 6.6631
Cu 0.0000 0.0000 0.0000
Cu 0.0000 0.0000 4.4421
Ni 0.0000 2.9791 6.6631
Ni 2.5800 1.4896 2.2210
O -0.8432 1.4942 1.1373
O -1.7076 2.9913 3.3048
O 0.8432 1.4942 3.3048
O -0.8644 4.4519 1.1373
O 1.7156 0.0168 5.5793
O 0.8724 1.4774 7.7468
O 1.7076 2.9913 1.1373
O 0.8644 4.4519 3.3048
O 3.4444 0.0168 7.7468
O 1.7368 2.9745 5.5793
O 4.2876 1.4774 5.5793
O 3.4232 2.9745 7.7468
```

***

No. 2
# Np2CuNiO8

A relaxed Np2CuNiO8 crystal (GGA+U, the Alexandria database).

The structure in extended XYZ format:
```
12
Lattice="-3.2870 3.2870 3.5616 3.2870 -3.2870 3.5616 3.2870 3.2870 -3.5616" Properties=species:S:1:pos:R:3 pbc="T T T"
Np 0.0000 0.0000 0.0000
Np 0.0000 3.2870 1.7808
Cu 3.2870 0.0000 1.7808
Ni 0.0000 0.0000 3.5616
O 1.9700 0.0000 0.3279
O 4.6039 0.0000 0.3279
O 3.2870 1.9914 -1.4442
O 3.2870 -1.3169 3.2336
O 0.0000 1.2955 2.1173
O 3.2870 1.3169 3.2336
O 1.9914 3.2870 1.4442
O 1.2955 0.0000 5.0058
```

***

No. 3
# NpCuNi2O6

A relaxed NpCuNi2O6 crystal (GGA+U, the Alexandria database).

The structure in extended XYZ format:
```
10
Lattice="5.9191 0.0000 0.0000 0.0000 5.9191 0.0000 0.0000 0.0000 4.0439" Properties=species:S:1:pos:R:3 pbc="T T T"
Np 0.0000 0.0000 0.0000
Cu 2.9596 2.9596 4.0309
Ni 0.0000 2.9596 0.0107
Ni 2.9596 0.0000 0.0107
O 0.0000 0.0000 2.0225
O 1.4541 1.4541 0.0029
O 1.4541 4.4650 0.0029
O 2.9596 2.9596 2.0154
O 4.4650 1.4541 0.0029
O 4.4650 4.4650 0.0029
```

***

Number 1: DFT total energy -125.32 eV/cell. Number 2: DFT total energy -96.02 eV/cell. Number 3: DFT total energy -63.05 eV/cell.